Density functional theory data (PBE) for a relaxed Na2GaIO crystal.

Summary:
Formation energy (no corrections): -3.20 eV per formula unit
Magnetic moment: 0.00 μB per formula unit

a b c (Å): 5.933 5.933 3.926
angles (deg): 90.00 90.00 90.00
Sites, in units of the cell vectors:
Na  0.000  0.500  0.000
Na  0.500  0.000  0.000
Ga  0.000  0.000  0.000
I  0.500  0.500  0.500
O  0.000  0.000  0.500